Density functional theory data (GGA-PBE) for a geometry-optimized Li2GePbCl6 structure.

Its uncorrected formation energy is -1.293 eV per atom. Its total energy is -3.616 eV per atom.

a b c (Å): 6.9007 6.9007 18.5527
angles (deg): 90.00 90.00 120.00
Space group R3 (No. 146, hexagonal axes)
Symmetry-distinct sites (fractional):
Li 0.0000 0.0000 0.0000 [3 per cell]
Li 0.0000 0.0000 0.4756 [3 per cell]
Ge 0.0000 0.0000 0.6716 [3 per cell]
Pb 0.0000 0.0000 0.1879 [3 per cell]
Cl 0.0119 0.3917 0.7546 [9 per cell]
Cl 0.0171 0.6016 0.2585 [9 per cell]